A geometry-optimized BaYPd2 structure. Source: the Open Quantum Materials Database, functional PBE.

```
BaYPd2
1.0
4.5754 0.0000 0.0000
0.0000 1.9833 5.8479
0.0000 -1.9833 5.8479
Ba Y Pd
1 1 2
Direct
0.0000 0.0000 0.0000 Ba
0.5000 0.7305 0.7305 Y
0.0000 0.2670 0.2670 Pd
0.5000 0.4158 0.4158 Pd
```

- VASP energy (hartree per atom) = -0.1943